Entry 1:
## La5Dy4Sc2 (PBE-GGA)

Data for a relaxed La5Dy4Sc2 crystal.

Values from the calculation:
As for the space group: P2/m (10).

a b c (Å): 3.5465 8.9339 11.4279
angles (deg): 85.80 90.00 90.00
With the nearest neighbours (Å) after each atom.
Element x y z (fractional)
La  0.0000  0.4378  0.3054  1 Sc 3.39, 4 La 3.49-3.66, 6 Dy 3.65-3.72
La  0.0000  0.8162  0.1587  1 Sc 3.37, 4 La 3.47-3.66, 6 Dy 3.61-3.72
La  0.0000  0.5000  0.0000  6 La 3.47-3.55, 4 Dy 3.66
La  0.0000  0.1838  0.8413  1 Sc 3.37, 4 La 3.47-3.66, 6 Dy 3.61-3.72
La  0.0000  0.5622  0.6946  1 Sc 3.39, 4 La 3.49-3.66, 6 Dy 3.65-3.72
Dy  0.5000  0.2556  0.5564  4 Sc 3.36-3.39, 2 Dy 3.55, 6 La 3.65-3.72
Dy  0.5000  0.8317  0.8735  2 Sc 3.37, 2 Dy 3.55, 8 La 3.61-3.72
Dy  0.5000  0.7444  0.4436  4 Sc 3.36-3.39, 2 Dy 3.55, 6 La 3.65-3.72
Dy  0.5000  0.1683  0.1265  2 Sc 3.37, 2 Dy 3.55, 8 La 3.61-3.72
Sc  0.0000  0.9388  0.6305  1 Sc 3.10, 6 Dy 3.36-3.39, 2 La 3.37-3.39
Sc  0.0000  0.0612  0.3695  1 Sc 3.10, 6 Dy 3.36-3.39, 2 La 3.37-3.39

Entry 2:
## La6Dy4Sc (PBE-GGA)

Data for a relaxed La6Dy4Sc crystal.

Values from the calculation:
As for the space group: Cmcm (63).

a b c (Å): 5.8824 5.7014 26.1769
angles (deg): 90.00 90.00 121.06
With the nearest neighbours (Å) after each atom.
Element x y z (fractional)
La  0.5000  0.0000  0.0000  8 Dy 3.28-3.59
La  0.5000  0.0000  0.5000  8 Dy 3.28-3.59
La  0.1280  0.2560  0.3164  5 La 3.48-3.82, 4 Dy 3.60-3.70, 3 Sc 3.69-3.78
La  0.8720  0.7440  0.6836  5 La 3.48-3.82, 4 Dy 3.60-3.70, 3 Sc 3.69-3.78
La  0.8720  0.7440  0.8164  5 La 3.48-3.82, 4 Dy 3.60-3.70, 3 Sc 3.69-3.78
La  0.1280  0.2560  0.1836  5 La 3.48-3.82, 4 Dy 3.60-3.70, 3 Sc 3.69-3.78
La  0.8034  0.6069  0.3977  6 Dy 3.37-3.73
La  0.1966  0.3931  0.6023  6 Dy 3.37-3.73
La  0.1966  0.3931  0.8977  6 Dy 3.37-3.73
La  0.8034  0.6069  0.1023  6 Dy 3.37-3.73
La  0.4552  0.9104  0.2500  2 Dy 3.28, 3 Sc 3.31-3.33, 2 La 3.64
La  0.5448  0.0896  0.7500  2 Dy 3.28, 3 Sc 3.31-3.33, 2 La 3.64
Dy  0.8465  0.6931  0.5453  8 La 3.51-3.89, 2 Dy 3.65-3.82
Dy  0.4614  0.9228  0.1246  6 La 3.28-3.60, 1 Dy 3.65
Dy  0.1535  0.3069  0.4547  8 La 3.51-3.89, 2 Dy 3.65-3.82
Dy  0.5386  0.0772  0.8754  6 La 3.28-3.60, 1 Dy 3.65
Dy  0.8465  0.6931  0.9547  8 La 3.51-3.89, 2 Dy 3.65-3.82
Dy  0.1535  0.3069  0.0453  8 La 3.51-3.89, 2 Dy 3.65-3.82
Dy  0.5386  0.0772  0.6246  6 La 3.28-3.60, 1 Dy 3.65
Dy  0.4614  0.9228  0.3754  6 La 3.28-3.60, 1 Dy 3.65
Sc  0.7944  0.5888  0.2500  5 La 3.31-3.69
Sc  0.2056  0.4112  0.7500  5 La 3.31-3.69

Energy (eV per cell)
-54.87 -105.93
Fermi-level density of states (states/eV per cell)
17.5 37.4
Formation energy from the elements (eV per atom)
0.08 0.12